VASP calculation (PBE) on a relaxed Te2S4I crystal.

Lattice parameters (Å, degrees): 7.376 7.704 8.388 64.92 69.83 87.53
Element x y z (fractional)
Te 0.000 0.000 0.000
Te 0.000 0.000 0.500
Te 0.000 0.500 0.000
Te 0.500 0.000 0.500
S 0.201 0.182 0.613
S 0.202 0.196 0.102
S 0.226 0.709 0.611
S 0.276 0.751 0.967
S 0.724 0.249 0.033
S 0.774 0.291 0.389
S 0.798 0.804 0.898
S 0.799 0.818 0.387
I 0.293 0.667 0.279
I 0.707 0.333 0.721

Its formation energy from raw total energies is 5.11 kcal/mol of atoms. As for the symmetry: No. 2.

VASP calculation (PBE) on a relaxed SiHgOs2 crystal.

Lattice parameters (Å, degrees): 2.871 4.473 4.955 90.00 90.00 90.00
Element x y z (fractional)
Si 0.000 0.000 0.000
Hg 0.500 0.000 0.500
Os 0.000 0.500 0.500
Os 0.500 0.500 0.000

The value obtained for the energy above the most stable polymorph in this dataset is 0.571 eV/atom. Its formation energy from raw total energies is 19.14 kcal/mol of atoms. As for the symmetry: No. 47.

VASP calculation (PBE) on a relaxed ScTcAg2 crystal.

Lattice parameters (Å, degrees): 2.790 2.790 8.950 90.00 90.00 90.00
Element x y z (fractional)
Sc 0.000 0.000 0.000
Tc 0.000 0.000 0.500
Ag 0.500 0.500 0.256
Ag 0.500 0.500 0.744

The value obtained for the energy above the most stable polymorph in this dataset is 0.228 eV/atom. As for the symmetry: No. 123.

VASP calculation (PBE) on a relaxed Dy2Al4Pt3Rh crystal.

Lattice parameters (Å, degrees): 4.200 4.200 10.397 90.00 90.00 90.00
Element x y z (fractional)
Dy 0.000 0.500 0.245
Dy 0.500 0.000 0.755
Al 0.000 0.000 0.500
Al 0.000 0.500 0.873
Al 0.500 0.000 0.127
Al 0.500 0.500 0.500
Pt 0.000 0.000 0.000
Pt 0.000 0.500 0.637
Pt 0.500 0.000 0.363
Rh 0.500 0.500 0.000

As for the symmetry: No. 115.

VASP calculation (PBE) on a relaxed Al3InP crystal.

Lattice parameters (Å, degrees): 4.758 4.758 4.758 90.00 90.00 90.00
Element x y z (fractional)
Al 0.000 0.000 0.500
Al 0.000 0.500 0.000
Al 0.500 0.000 0.000
In 0.500 0.500 0.500
P 0.000 0.000 0.000

The value obtained for the energy above the most stable polymorph in this dataset is 0.000 eV/atom. As for the symmetry: No. 221.

VASP calculation (PBE) on a relaxed CsAs2SeS crystal.

Lattice parameters (Å, degrees): 6.023 6.023 5.561 90.00 90.00 90.00
Element x y z (fractional)
Cs 0.000 0.000 0.000
As 0.000 0.500 0.000
As 0.500 0.000 0.000
Se 0.000 0.000 0.500
S 0.500 0.500 0.500

The value obtained for the energy above the most stable polymorph in this dataset is 1.593 eV/atom. Its formation energy from raw total energies is 43.99 kcal/mol of atoms. As for the symmetry: No. 123.

VASP calculation (PBE) on a relaxed LiZnTe2 crystal.

Lattice parameters (Å, degrees): 3.893 3.893 7.949 90.00 90.00 118.08
Element x y z (fractional)
Li 0.000 0.000 0.000
Zn 0.000 0.000 0.500
Te 0.500 0.500 0.264
Te 0.500 0.500 0.736

Its formation energy from raw total energies is -5.09 kcal/mol of atoms. As for the symmetry: No. 65.

VASP calculation (PBE) on a relaxed CaZnRu2 crystal.

Lattice parameters (Å, degrees): 4.871 4.871 5.210 102.08 102.08 35.05
Element x y z (fractional)
Ca 0.000 0.000 0.000
Zn 0.500 0.500 0.500
Ru 0.231 0.231 0.691
Ru 0.769 0.769 0.309

As for the symmetry: No. 12.

Number 1: E -45.59 eV for the cell shown. Number 2: E -24.86 eV for the cell shown. Number 3: E -21.06 eV for the cell shown. Number 4: E -60.66 eV for the cell shown. Number 5: E -17.78 eV for the cell shown. Number 6: E -8.23 eV for the cell shown. Number 7: E -10.35 eV for the cell shown. Number 8: E -20.76 eV for the cell shown.